*P*
Tb3Pm6Er (PBE, optimized geometry); DOS(E_F) = 13.6 states/eV/f.u.
1.0
5.486 -9.631 0.000
5.486 9.631 0.000
0.000 0.000 6.361
Tb Pm Er
6 12 2
Direct
0.114 0.886 0.500 Tb
0.216 0.445 0.887 Tb
0.445 0.216 0.387 Tb
0.555 0.784 0.887 Tb
0.784 0.555 0.387 Tb
0.886 0.114 0.000 Tb
0.023 0.443 0.283 Pm
0.126 0.212 0.471 Pm
0.212 0.126 0.971 Pm
0.222 0.778 0.070 Pm
0.443 0.023 0.783 Pm
0.463 0.537 0.308 Pm
0.537 0.463 0.808 Pm
0.557 0.977 0.283 Pm
0.778 0.222 0.570 Pm
0.788 0.874 0.471 Pm
0.874 0.788 0.971 Pm
0.977 0.557 0.783 Pm
0.304 0.696 0.538 Er
0.696 0.304 0.038 Er

*Q*
Tb3Pm6Er (PBE, optimized geometry); DOS(E_F) = 16.6 states/eV/f.u.
1.0
4.902 -10.660 0.000
4.902 10.660 0.000
0.000 0.000 6.424
Tb Pm Er
6 12 2
Direct
0.079 0.921 0.500 Tb
0.207 0.458 0.096 Tb
0.458 0.207 0.596 Tb
0.542 0.793 0.096 Tb
0.793 0.542 0.596 Tb
0.921 0.079 0.000 Tb
0.044 0.606 0.265 Pm
0.121 0.242 0.521 Pm
0.199 0.801 0.791 Pm
0.242 0.121 0.021 Pm
0.394 0.956 0.265 Pm
0.484 0.516 0.766 Pm
0.516 0.484 0.266 Pm
0.606 0.044 0.765 Pm
0.758 0.879 0.521 Pm
0.801 0.199 0.291 Pm
0.879 0.758 0.021 Pm
0.956 0.394 0.765 Pm
0.341 0.659 0.570 Er
0.659 0.341 0.070 Er

Out of the structures above, which one is the least stable? Solution: *P*.